Compound: Sb2SNF11
Source: Alexandria
Functional: GGA-PBEsol
Structure: relaxed

a b c (Å): 8.004 10.311 11.672
angles (deg): 90.00 90.00 94.00
Positions (direct):
Sb  0.175  0.953  0.777
Sb  0.175  0.453  0.723
Sb  0.825  0.047  0.223
Sb  0.322  0.270  0.446
Sb  0.678  0.730  0.554
Sb  0.322  0.770  0.054
Sb  0.678  0.230  0.946
Sb  0.825  0.547  0.277
S  0.796  0.225  0.540
S  0.204  0.275  0.040
S  0.796  0.725  0.960
S  0.204  0.775  0.460
N  0.743  0.112  0.604
N  0.257  0.388  0.104
N  0.257  0.888  0.396
N  0.743  0.612  0.896
F  0.066  0.550  0.831
F  0.290  0.835  0.889
F  0.876  0.943  0.096
F  0.234  0.827  0.667
F  0.124  0.057  0.904
F  0.387  0.040  0.760
F  0.372  0.614  0.982
F  0.274  0.937  0.101
F  0.020  0.657  0.312
F  0.766  0.173  0.333
F  0.710  0.165  0.111
F  0.766  0.673  0.167
F  0.911  0.783  0.549
F  0.551  0.831  0.026
F  0.628  0.886  0.482
F  0.020  0.157  0.188
F  0.449  0.669  0.526
F  0.358  0.209  0.297
F  0.124  0.557  0.596
F  0.980  0.343  0.688
F  0.089  0.217  0.451
F  0.642  0.791  0.703
F  0.642  0.291  0.797
F  0.551  0.331  0.474
F  0.934  0.950  0.331
F  0.710  0.665  0.389
F  0.911  0.283  0.951
F  0.274  0.437  0.399
F  0.066  0.050  0.669
F  0.234  0.327  0.833
F  0.449  0.169  0.974
F  0.290  0.335  0.611
F  0.726  0.563  0.601
F  0.726  0.063  0.899
F  0.980  0.843  0.812
F  0.628  0.386  0.018
F  0.358  0.709  0.203
F  0.613  0.460  0.260
F  0.387  0.540  0.740
F  0.934  0.450  0.169
F  0.372  0.114  0.518
F  0.876  0.443  0.404
F  0.613  0.960  0.240
F  0.089  0.717  0.049

Values from the calculation:
Uncorrected energy   -4.759 eV per atom
ΔE_f (raw)   -1.88 eV per atom
Space-group type   P2_1/c, No. 14
Density   3.45 g/cm3